A geometry-optimized KZnRe2 structure, computed with PBE-GGA.

## Properties
ρ in Mg/m³: 10.838
Formation enthalpy at 0 K in eV/atom: 1.4774
Space group: No. 123

a b c (Å): 5.0236 3.8138 3.8138
angles (deg): 90.00 90.00 90.00
Sites, in units of the cell vectors:
Re  0.0000  0.0000  0.0000
K  0.5000  0.0000  0.5000
Re  0.0000  0.5000  0.5000
Zn  0.5000  0.5000  0.0000

A geometry-optimized KZnRe2 structure, computed with PBE-GGA.

## Properties
ρ in Mg/m³: 11.529
Formation enthalpy at 0 K in eV/atom: 1.3143
Space group: No. 216

a b c (Å): 4.5970 4.5970 4.5970
angles (deg): 60.00 60.00 60.00
Sites, in units of the cell vectors:
Re  0.0000  0.0000  0.0000
K  0.5000  0.5000  0.5000
Zn  0.7500  0.7500  0.7500
Re  0.2500  0.2500  0.2500

A geometry-optimized KZnRe2 structure, computed with PBE-GGA.

## Properties
ρ in Mg/m³: 10.954
Formation enthalpy at 0 K in eV/atom: 1.3181
Space group: No. 65

a b c (Å): 5.8638 5.8638 2.5607
angles (deg): 90.00 90.00 124.81
Sites, in units of the cell vectors:
Re  0.0000  0.0000  0.0000
Zn  0.5000  0.0000  0.5000
K  0.0000  0.5000  0.5000
Re  0.5000  0.5000  0.0000

A geometry-optimized KZnRe2 structure, computed with PBE-GGA.

## Properties
ρ in Mg/m³: 9.683
Formation enthalpy at 0 K in eV/atom: 0.5606
Space group: No. 99

a b c (Å): 3.0941 3.0941 8.5430
angles (deg): 90.00 90.00 90.00
Last column: magnetic moment on the atom in μB.
Sites, in units of the cell vectors:
Re  0.0000  0.0000  0.0806  0.18
Zn  0.0000  0.0000  0.4295  0.00
K  0.5000  0.5000  0.7526  0.03
Re  0.5000  0.5000  0.2373  0.04

A geometry-optimized KZnRe2 structure, computed with PBE-GGA.

## Properties
ρ in Mg/m³: 10.945
Formation enthalpy at 0 K in eV/atom: 0.5497
Space group: No. 160

a b c (Å): 10.5172 10.5172 10.5172
angles (deg): 15.50 15.50 15.50
Sites, in units of the cell vectors:
K  0.7498  0.7498  0.7498
Re  0.2525  0.2525  0.2525
Zn  0.5123  0.5123  0.5123
Re  0.9854  0.9854  0.9854

A geometry-optimized KZnRe2 structure, computed with PBE-GGA.

## Properties
ρ in Mg/m³: 10.724
Formation enthalpy at 0 K in eV/atom: 1.4806
Space group: No. 139

a b c (Å): 5.7759 5.7759 5.7759
angles (deg): 141.58 141.58 55.46
Sites, in units of the cell vectors:
Zn  0.2500  0.7500  0.5000
Re  0.5000  0.5000  0.0000
Re  0.0000  0.0000  0.0000
K  0.7500  0.2500  0.5000

A geometry-optimized KZnRe2 structure, computed with PBE-GGA.

## Properties
ρ in Mg/m³: 9.123
Formation enthalpy at 0 K in eV/atom: 0.7090
Space group: No. 8

a b c (Å): 4.4702 4.4702 7.5041
angles (deg): 86.91 86.91 35.44
Sites, in units of the cell vectors:
Re  0.9877  0.9877  0.0966
Re  0.2437  0.2437  0.2320
K  0.7532  0.7532  0.7531
Zn  0.5154  0.5154  0.4183

A geometry-optimized KZnRe2 structure, computed with PBE-GGA.

## Properties
ρ in Mg/m³: 11.310
Formation enthalpy at 0 K in eV/atom: 0.8826
Space group: No. 166

a b c (Å): 10.5890 10.5890 10.5890
angles (deg): 15.08 15.08 15.08
Sites, in units of the cell vectors:
K  0.7500  0.7500  0.7500
Re  0.9874  0.9874  0.9874
Re  0.5126  0.5126  0.5126
Zn  0.2500  0.2500  0.2500

A geometry-optimized KZnRe2 structure, computed with PBE-GGA.

## Properties
ρ in Mg/m³: 11.180
Formation enthalpy at 0 K in eV/atom: 0.9547
Space group: No. 123

a b c (Å): 2.6384 2.6384 10.1760
angles (deg): 90.00 90.00 90.00
Sites, in units of the cell vectors:
Re  0.0000  0.0000  0.0417
Zn  0.5000  0.5000  0.2500
K  0.5000  0.5000  0.7500
Re  0.0000  0.0000  0.4583

A geometry-optimized KZnRe2 structure, computed with PBE-GGA.

## Properties
ρ in Mg/m³: 8.004
Formation enthalpy at 0 K in eV/atom: 1.5145
Space group: No. 122

a b c (Å): 4.5475 4.5475 10.0947
angles (deg): 76.98 76.98 90.00
Last column: magnetic moment on the atom in μB.
Sites, in units of the cell vectors:
K  0.5000  0.5000  0.0000  0.01
Re  0.9490  0.1250  0.2500  0.21
Re  0.8750  0.1990  0.7500  0.21
Re  0.8010  0.6250  0.2500  0.21
Zn  0.0000  0.0000  0.0000  0.01
K  0.2500  0.7500  0.5000  0.01
Zn  0.7500  0.2500  0.5000  0.01
Re  0.3750  0.0510  0.7500  0.21

A geometry-optimized KZn3Re structure, computed with PBE-GGA.

## Properties
Distance to the lowest polymorph of the same formula in meV/atom: 0
ρ in Mg/m³: 5.702
Formation enthalpy at 0 K in eV/atom: 0.5390
Space group: No. 221

a b c (Å): 4.9699 4.9699 4.9699
angles (deg): 90.00 90.00 90.00
Sites, in units of the cell vectors:
K  0.5000  0.5000  0.5000
Zn  0.5000  0.0000  0.0000
Zn  0.0000  0.5000  0.0000
Zn  0.0000  0.0000  0.5000
Re  0.0000  0.0000  0.0000

A geometry-optimized KZnRe structure, computed with PBE-GGA.

## Properties
Distance to the lowest polymorph of the same formula in meV/atom: 0
ρ in Mg/m³: 8.513
Formation enthalpy at 0 K in eV/atom: 0.8521
Space group: No. 42

a b c (Å): 8.4586 8.2992 2.7294
angles (deg): 83.95 77.34 18.72
Sites, in units of the cell vectors:
K  0.0025  0.0025  0.9975
Re  0.6810  0.6810  0.3190
Zn  0.3165  0.3165  0.6835

Please write out number 8 again, unchanged.
A geometry-optimized KZnRe2 structure, computed with PBE-GGA.

## Properties
ρ in Mg/m³: 11.310
Formation enthalpy at 0 K in eV/atom: 0.8826
Space group: No. 166

a b c (Å): 10.5890 10.5890 10.5890
angles (deg): 15.08 15.08 15.08
Sites, in units of the cell vectors:
K  0.7500  0.7500  0.7500
Re  0.9874  0.9874  0.9874
Re  0.5126  0.5126  0.5126
Zn  0.2500  0.2500  0.2500

Question: Which value of formation enthalpy at 0 K does entry 8 give?
Answer: 0.8826 eV/atom